1.
First-principles (GGA-PBE) data for crystalline Zr3PaBi2 at its relaxed geometry, as listed in the Alexandria database.

```
12
Lattice="-4.9878 1.9489 0.6646 -0.3231 -8.2119 -0.2501 2.6252 4.2601 7.2890" Properties=species:S:1:pos:R:3 pbc="T T T"
Bi 0.3582 -0.5072 4.2183
Bi -3.0439 -1.4957 3.4851
Zr 1.0078 0.1902 7.0888
Bi -2.3014 -6.3982 1.5091
Bi -0.3843 4.3953 6.1943
Zr 1.6166 2.4357 5.0478
Pa -0.3040 -1.0474 0.7901
Zr -4.3023 -4.4386 2.6556
Zr -3.6936 -2.1931 0.6146
Pa -2.3817 -0.9555 6.9133
Zr -1.6007 1.7495 4.8111
Zr -1.0850 -3.7524 2.8923
```

The electronic total energy is -7.29 eV per atom.

2.
First-principles (GGA-PBE) data for crystalline PmDy2HoSc4 at its relaxed geometry, as listed in the Alexandria database.

```
16
Lattice="-8.4479 2.9505 -1.6104 -3.3884 -5.3412 6.5312 9.6036 5.9366 0.0780" Properties=species:S:1:pos:R:3 pbc="T T T"
Ho -1.1163 1.7729 2.4994
Sc 0.1450 -0.2942 4.5339
Sc 0.7263 4.1360 3.7687
Sc -4.0714 1.1762 3.7359
Pm -5.3404 3.2481 1.6942
Dy 0.5778 4.4435 -0.7662
Sc 2.4195 6.8159 0.4964
Dy 4.8018 2.9683 0.0390
Ho 1.1557 8.8870 -1.5324
Sc -2.9590 -0.5901 1.2300
Dy -4.2240 1.4752 -0.8052
Pm -1.6942 -2.6706 3.2656
Dy -5.9182 -1.1954 2.4604
Sc -4.6523 -3.2699 4.5023
Sc -2.3777 3.8400 0.4648
Sc 1.8386 2.3696 1.2629
```

The electronic total energy is -5.04 eV per atom.

What did the first record say?
First-principles (GGA-PBE) data for crystalline Zr3PaBi2 at its relaxed geometry, as listed in the Alexandria database.

```
12
Lattice="-4.9878 1.9489 0.6646 -0.3231 -8.2119 -0.2501 2.6252 4.2601 7.2890" Properties=species:S:1:pos:R:3 pbc="T T T"
Bi 0.3582 -0.5072 4.2183
Bi -3.0439 -1.4957 3.4851
Zr 1.0078 0.1902 7.0888
Bi -2.3014 -6.3982 1.5091
Bi -0.3843 4.3953 6.1943
Zr 1.6166 2.4357 5.0478
Pa -0.3040 -1.0474 0.7901
Zr -4.3023 -4.4386 2.6556
Zr -3.6936 -2.1931 0.6146
Pa -2.3817 -0.9555 6.9133
Zr -1.6007 1.7495 4.8111
Zr -1.0850 -3.7524 2.8923
```

The electronic total energy is -7.29 eV per atom.

> Look up the electronic total energy of the first one.

-7.29 eV per atom